The following is a PBE calculation of Ca2TaWAu after structural relaxation, from the Alexandria database.

a b c (Å): 5.453 5.453 4.965
angles (deg): 90.00 90.00 90.00
Space group P4/mmm (No. 123)
Asymmetric unit:
Ca  0.000  0.500  0.000 [2 per cell]
Ta  0.000  0.000  0.500 [1 per cell]
W  0.500  0.500  0.000 [1 per cell]
Au  0.500  0.500  0.500 [1 per cell]

Output
E = -4.642 eV/atom
D(E_F) = 5.4 states/eV/cell
formation enthalpy at 0 K = 1775 meV per atom

The following is a PBE calculation of ScMnNi2B after structural relaxation, from the Alexandria database.

a b c (Å): 3.910 3.910 3.943
angles (deg): 90.00 90.00 90.00
Space group P4/mmm (No. 123)
Asymmetric unit:
Sc  0.000  0.000  0.000 [1 per cell]
Mn  0.500  0.500  0.000 [1 per cell]
Ni  0.000  0.500  0.500 [2 per cell]
B  0.500  0.500  0.500 [1 per cell]

Output
E = -7.072 eV/atom
D(E_F) = 3.1 states/eV/cell
formation enthalpy at 0 K = -324 meV per atom

> The lowest E belongs to which entry?

ScMnNi2B

> Look up the E of the first one.

-4.642 eV/atom

> The lowest formation enthalpy at 0 K belongs to which entry?

ScMnNi2B